IrRh2W | Alexandria via LeMat-Bulk | PBE | optimized geometry; total moment = 0.0 μB per cell; ρ = 16.50 g/cm³; DOS(E_F) = 4.2 states/eV/cell; energy = -37.3 eV/f.u.; energy of formation from the pure elements = -0.189 eV per atom; volume = 14.64 Å³/atom; polymorph energy (0 for the lowest one) = 0.119 eV/atom
1.0
2.941 1.577 3.403
0.088 4.766 -0.018
-3.597 -3.127 0.086
Ir Rh W
1 2 1
direct
0.500 0.500 0.000
0.750 0.250 0.500
0.250 0.750 0.500
0.000 0.000 0.000

Ir2RhW | Alexandria via LeMat-Bulk | PBE | optimized geometry; total moment = 0.0 μB per cell; ρ = 12.68 g/cm³; DOS(E_F) = 7.2 states/eV/cell; energy = -34.4 eV/f.u.; energy of formation from the pure elements = 0.913 eV per atom; volume = 21.97 Å³/atom; polymorph energy (0 for the lowest one) = 1.177 eV/atom
1.0
5.785 0.000 0.000
0.000 5.785 0.000
2.892 2.892 5.252
Ir Rh W
4 2 2
direct
0.623 0.125 0.250
0.127 0.625 0.250
0.375 0.377 0.750
0.875 0.873 0.750
0.500 0.500 0.000
0.250 0.750 0.500
0.000 0.000 0.000
0.750 0.250 0.500

IrRh2W2 | Alexandria via LeMat-Bulk | PBE | optimized geometry; total moment = 0.0 μB per cell; ρ = 16.79 g/cm³; DOS(E_F) = 5.0 states/eV/cell; energy = -49.8 eV/f.u.; energy of formation from the pure elements = -0.063 eV per atom; volume = 15.14 Å³/atom; polymorph energy (0 for the lowest one) = 0.000 eV/atom
1.0
-0.432 1.761 2.070
3.239 -1.409 1.874
5.506 3.993 -2.249
Ir Rh W
1 2 2
direct
0.000 0.000 0.000
0.000 0.192 0.616
0.000 0.808 0.384
0.500 0.395 0.209
0.500 0.605 0.791

IrRh2W | Alexandria via LeMat-Bulk | PBE | optimized geometry; total moment = 0.0 μB per cell; ρ = 16.42 g/cm³; DOS(E_F) = 5.1 states/eV/cell; energy = -37.0 eV/f.u.; energy of formation from the pure elements = -0.114 eV per atom; volume = 14.71 Å³/atom; polymorph energy (0 for the lowest one) = 0.193 eV/atom
1.0
-3.571 -2.979 -1.057
-1.249 -4.212 -1.856
-0.033 -2.632 3.967
Ir Rh W
1 2 1
direct
0.000 0.000 0.500
0.250 0.250 0.749
0.750 0.750 0.251
0.500 0.500 0.000

Ir6RhW | Alexandria via LeMat-Bulk | PBE | optimized geometry; total moment = 0.0 μB per cell; ρ = 20.38 g/cm³; DOS(E_F) = 10.2 states/eV/cell; energy = -74.5 eV/f.u.; energy of formation from the pure elements = -0.127 eV per atom; volume = 14.67 Å³/atom
1.0
4.428 0.000 0.000
0.000 4.878 -2.609
0.000 -0.180 5.529
Ir Rh W
6 1 1
direct
0.000 0.081 0.415
0.000 0.585 0.919
0.000 0.585 0.415
0.500 0.414 0.082
0.500 0.918 0.586
0.500 0.918 0.082
0.000 0.083 0.917
0.500 0.417 0.583

IrRh2W | Alexandria via LeMat-Bulk | PBE | optimized geometry; total moment = 0.0 μB per cell; ρ = 16.15 g/cm³; DOS(E_F) = 5.4 states/eV/cell; energy = -36.0 eV/f.u.; energy of formation from the pure elements = 0.124 eV per atom; volume = 14.96 Å³/atom; polymorph energy (0 for the lowest one) = 0.431 eV/atom
1.0
-2.115 -2.095 3.227
-3.429 1.902 1.975
-4.055 -1.544 -0.673
Ir Rh W
1 2 1
direct
0.500 0.500 0.500
0.000 0.000 0.000
0.750 0.750 0.750
0.250 0.250 0.250

IrRh2W2 | Alexandria via LeMat-Bulk | PBE | optimized geometry; total moment = 0.0 μB per cell; ρ = 16.46 g/cm³; DOS(E_F) = 4.4 states/eV/cell; energy = -49.1 eV/f.u.; energy of formation from the pure elements = 0.078 eV per atom; volume = 15.45 Å³/atom; polymorph energy (0 for the lowest one) = 0.141 eV/atom
1.0
7.384 0.000 0.000
0.000 7.384 0.000
0.000 0.000 2.833
Ir Rh W
2 4 4
direct
0.000 0.000 0.000
0.500 0.500 0.000
0.375 0.875 0.000
0.875 0.625 0.000
0.625 0.125 0.000
0.125 0.375 0.000
0.174 0.674 0.500
0.674 0.826 0.500
0.826 0.326 0.500
0.326 0.174 0.500

Ir2RhW | Alexandria via LeMat-Bulk | PBE | optimized geometry; total moment = 0.0 μB per cell; ρ = 18.76 g/cm³; DOS(E_F) = 5.4 states/eV/cell; energy = -38.6 eV/f.u.; energy of formation from the pure elements = -0.139 eV per atom; volume = 14.85 Å³/atom; polymorph energy (0 for the lowest one) = 0.125 eV/atom
1.0
-1.837 -0.373 -2.037
-2.019 -0.281 1.873
-1.285 7.644 -0.240
Ir Rh W
2 1 1
direct
0.000 0.000 0.747
0.000 0.000 0.253
0.500 0.500 0.000
0.500 0.500 0.500

Ir2RhW | Alexandria via LeMat-Bulk | PBE | optimized geometry; total moment = 0.0 μB per cell; ρ = 18.85 g/cm³; DOS(E_F) = 11.6 states/eV/cell; energy = -38.9 eV/f.u.; energy of formation from the pure elements = -0.228 eV per atom; volume = 14.78 Å³/atom; polymorph energy (0 for the lowest one) = 0.036 eV/atom
1.0
4.402 0.000 0.000
0.000 4.814 0.000
0.000 0.000 11.158
Ir Rh W
8 4 4
direct
0.250 0.586 0.191
0.750 0.414 0.809
0.250 0.086 0.309
0.750 0.914 0.691
0.250 0.583 0.437
0.750 0.417 0.563
0.250 0.083 0.063
0.750 0.917 0.937
0.250 0.584 0.937
0.750 0.416 0.063
0.250 0.084 0.563
0.750 0.916 0.437
0.250 0.579 0.682
0.750 0.421 0.318
0.250 0.079 0.818
0.750 0.921 0.182

IrRh2W | Alexandria via LeMat-Bulk | PBE | optimized geometry; total moment = 0.2 μB per cell; ρ = 16.36 g/cm³; DOS(E_F) = 5.8 states/eV/cell; energy = -36.6 eV/f.u.; energy of formation from the pure elements = -0.010 eV per atom; volume = 14.76 Å³/atom; polymorph energy (0 for the lowest one) = 0.298 eV/atom
1.0
9.008 -1.378 -0.007
9.008 1.378 -0.007
8.799 0.000 2.371
Ir Rh W
1 2 1
direct
0.000 0.000 0.000
0.751 0.751 0.751
0.249 0.249 0.249
0.500 0.500 0.500

IrRh2W | Alexandria via LeMat-Bulk | PBE | optimized geometry; total moment = 0.0 μB per cell; ρ = 16.49 g/cm³; DOS(E_F) = 3.7 states/eV/cell; energy = -37.0 eV/f.u.; energy of formation from the pure elements = -0.128 eV per atom; volume = 14.65 Å³/atom; polymorph energy (0 for the lowest one) = 0.180 eV/atom
1.0
2.720 -3.910 0.000
2.720 3.910 0.000
0.000 0.000 2.754
Ir Rh W
1 2 1
direct
0.500 0.500 0.500
0.500 0.000 0.000
0.000 0.500 0.000
0.000 0.000 0.500

IrRh2W | Alexandria via LeMat-Bulk | PBE | optimized geometry; total moment = 0.0 μB per cell; ρ = 16.46 g/cm³; DOS(E_F) = 4.4 states/eV/cell; energy = -37.2 eV/f.u.; energy of formation from the pure elements = -0.169 eV per atom; volume = 14.68 Å³/atom; polymorph energy (0 for the lowest one) = 0.138 eV/atom
1.0
-0.798 0.898 -2.465
-2.923 -2.560 0.014
-3.257 3.731 2.414
Ir Rh W
1 2 1
direct
0.500 0.500 0.750
0.000 0.000 0.001
0.500 0.500 0.248
0.000 0.000 0.501

Ir6RhW5 | Alexandria via LeMat-Bulk | PBE | optimized geometry; total moment = 0.0 μB per cell; ρ = 19.98 g/cm³; DOS(E_F) = 6.4 states/eV/cell; energy = -128.5 eV/f.u.; energy of formation from the pure elements = -0.265 eV per atom; volume = 15.07 Å³/atom
1.0
3.783 -0.003 -1.060
-2.664 6.448 -2.244
0.013 0.180 7.326
Ir Rh W
6 1 5
direct
0.250 0.083 0.417
0.750 0.583 0.917
0.753 0.253 0.253
0.247 0.747 0.747
0.250 0.417 0.083
0.750 0.917 0.583
0.000 0.000 0.000
0.500 0.168 0.832
0.000 0.334 0.666
0.500 0.500 0.500
0.000 0.666 0.334
0.500 0.832 0.168

IrRh2W | Alexandria via LeMat-Bulk | PBE | optimized geometry; total moment = 0.0 μB per cell; ρ = 16.60 g/cm³; DOS(E_F) = 4.6 states/eV/cell; energy = -37.7 eV/f.u.; energy of formation from the pure elements = -0.307 eV per atom; volume = 14.55 Å³/atom; polymorph energy (0 for the lowest one) = 0.000 eV/atom
1.0
-0.611 -1.614 4.036
-1.134 -4.967 -2.158
5.211 1.314 1.315
Ir Rh W
2 4 2
direct
0.500 0.668 0.835
0.500 0.165 0.332
0.500 0.166 0.834
0.000 0.334 0.166
0.000 0.834 0.666
0.000 0.834 0.166
0.500 0.665 0.335
0.000 0.334 0.666

Ir2RhW2 | Alexandria via LeMat-Bulk | PBE | optimized geometry; total moment = 0.0 μB per cell; ρ = 17.82 g/cm³; DOS(E_F) = 10.9 states/eV/cell; energy = -51.2 eV/f.u.; energy of formation from the pure elements = -0.034 eV per atom; volume = 15.93 Å³/atom; polymorph energy (0 for the lowest one) = 0.168 eV/atom
1.0
-2.118 6.625 2.865
0.980 -2.694 6.955
2.676 0.873 -0.039
Ir Rh W
4 2 4
direct
0.372 0.872 0.000
0.872 0.628 0.000
0.628 0.128 0.000
0.128 0.372 0.000
0.000 0.000 0.000
0.500 0.500 0.000
0.169 0.669 0.500
0.669 0.831 0.500
0.831 0.331 0.500
0.331 0.169 0.500

IrRh2W | Alexandria via LeMat-Bulk | PBE | optimized geometry; total moment = 0.0 μB per cell; ρ = 16.35 g/cm³; DOS(E_F) = 6.2 states/eV/cell; energy = -36.9 eV/f.u.; energy of formation from the pure elements = -0.105 eV per atom; volume = 14.77 Å³/atom; polymorph energy (0 for the lowest one) = 0.202 eV/atom
1.0
2.762 0.000 0.000
0.000 2.762 0.000
0.000 0.000 7.748
Ir Rh W
1 2 1
direct
0.500 0.500 0.747
0.000 0.000 0.999
0.500 0.500 0.254
0.000 0.000 0.499

Ir2RhW | Alexandria via LeMat-Bulk | PBE | optimized geometry; total moment = 0.0 μB per cell; ρ = 18.88 g/cm³; DOS(E_F) = 3.8 states/eV/cell; energy = -38.6 eV/f.u.; energy of formation from the pure elements = -0.155 eV per atom; volume = 14.76 Å³/atom; polymorph energy (0 for the lowest one) = 0.109 eV/atom
1.0
-0.992 0.958 -2.392
-2.269 -4.134 -0.714
-4.374 0.192 1.891
Ir Rh W
2 1 1
direct
0.000 0.000 0.000
0.500 0.500 0.000
0.500 0.000 0.500
0.000 0.500 0.500

Ir2RhW | Alexandria via LeMat-Bulk | PBE | optimized geometry; total moment = 0.0 μB per cell; ρ = 18.44 g/cm³; DOS(E_F) = 7.0 states/eV/cell; energy = -37.3 eV/f.u.; energy of formation from the pure elements = 0.175 eV per atom; volume = 15.11 Å³/atom; polymorph energy (0 for the lowest one) = 0.440 eV/atom
1.0
0.000 3.115 3.115
3.115 0.000 3.115
3.115 3.115 0.000
Ir Rh W
2 1 1
direct
0.250 0.250 0.250
0.750 0.750 0.750
0.000 0.000 0.000
0.500 0.500 0.500

IrRh2W | Alexandria via LeMat-Bulk | PBE | optimized geometry; total moment = 0.0 μB per cell; ρ = 11.53 g/cm³; DOS(E_F) = 7.8 states/eV/cell; energy = -32.2 eV/f.u.; energy of formation from the pure elements = 1.075 eV per atom; volume = 20.95 Å³/atom; polymorph energy (0 for the lowest one) = 1.382 eV/atom
1.0
-3.130 -5.018 -1.161
4.391 -3.310 2.468
-1.430 -3.831 4.767
Ir Rh W
2 4 2
direct
0.000 0.000 0.000
0.750 0.250 0.500
0.623 0.125 0.250
0.127 0.625 0.250
0.375 0.377 0.750
0.875 0.873 0.750
0.500 0.500 0.000
0.250 0.750 0.500

Ir2RhW | Alexandria via LeMat-Bulk | PBE | optimized geometry; total moment = 0.0 μB per cell; ρ = 18.85 g/cm³; DOS(E_F) = 4.2 states/eV/cell; energy = -38.8 eV/f.u.; energy of formation from the pure elements = -0.193 eV per atom; volume = 14.78 Å³/atom; polymorph energy (0 for the lowest one) = 0.071 eV/atom
1.0
-1.652 1.723 -1.363
-2.199 0.408 3.182
3.123 4.268 1.610
Ir Rh W
2 1 1
direct
0.000 0.000 0.752
0.000 0.000 0.248
0.500 0.500 0.000
0.500 0.500 0.500